No. 1
Compound: SmTm2Au3
Source: Alexandria
Functional: GGA-PBE
Structure: optimized geometry

```
6
Lattice="3.561 0.000 0.000 0.000 3.561 0.000 0.000 0.000 10.938" Properties=species:S:1:pos:R:3 pbc="T T T"
Sm 0.000 0.000 0.000
Tm 0.000 0.000 3.687
Tm 0.000 0.000 7.251
Au 1.781 1.781 1.980
Au 1.781 1.781 5.469
Au 1.781 1.781 8.958
```

Summary:
The energy relative to the elements is -0.864 eV/atom. The volume is 138.7 Å³ per cell. The calculation puts the mass density at 12.9 g/cm3. The calculation puts the density of states at the Fermi level at 2.26 states/eV/cell.



No. 2
Compound: Sm2TmAu3
Source: Alexandria
Functional: GGA-PBE
Structure: optimized geometry

```
6
Lattice="3.606 0.000 0.000 0.000 3.606 0.000 0.000 0.000 11.043" Properties=species:S:1:pos:R:3 pbc="T T T"
Sm 0.000 0.000 1.881
Sm 0.000 0.000 9.162
Tm 0.000 0.000 5.521
Au 1.803 1.803 0.000
Au 1.803 1.803 3.824
Au 1.803 1.803 7.218
```

Summary:
The energy relative to the elements is -0.831 eV/atom. The volume is 143.6 Å³ per cell. The relative energy among the computed polymorphs comes out at 0.0 meV per atom. The calculation puts the mass density at 12.3 g/cm3. The calculation puts the density of states at the Fermi level at 2.38 states/eV/cell.



No. 3
Compound: Sm2Tm2Au3
Source: Alexandria
Functional: GGA-PBE
Structure: optimized geometry

```
14
Lattice="-4.485 4.485 4.485 4.485 -4.485 4.485 4.485 4.485 -4.485" Properties=species:S:1:pos:R:3 pbc="T T T"
Sm 3.832 0.653 -0.653
Sm 0.653 0.653 0.653
Sm 0.653 -0.653 3.832
Sm -0.653 3.832 0.653
Tm 6.119 -1.635 1.635
Tm 1.635 6.119 -1.635
Tm 2.850 2.850 2.850
Tm -1.635 1.635 6.119
Au 6.727 1.003 0.000
Au 3.482 0.000 2.242
Au 2.242 3.482 0.000
Au 0.000 2.242 3.482
Au 1.003 0.000 6.727
Au 0.000 6.727 1.003
```

Summary:
The energy relative to the elements is -0.660 eV/atom. The volume is 360.8 Å³ per cell. The calculation puts the mass density at 11.3 g/cm3. The calculation puts the density of states at the Fermi level at 16.71 states/eV/cell.